No. 1
Crystalline Nb2AsS at its relaxed geometry, computed with PBE.

Results
Energy above the lowest structure with this stoichiometry = 0.000 eV/atom
Formation energy from raw total energies = -487.6 meV/atom
Total magnetic moment = 0.0000 μB/atom
ρ = 7.6 g/cm³

Cell: 6.3501 6.3501 6.3501 Å, 90.00 90.00 90.00°
Space group Fm-3m (No. 225)
Symmetry-distinct sites (fractional):
Nb1 0.2500 0.2500 0.2500 x8
As1 0.0000 0.0000 0.0000 x4
S1 0.0000 0.0000 0.5000 x4

No. 2
Crystalline Pm2DyZn at its relaxed geometry, computed with PBE.

Results
Energy above the lowest structure with this stoichiometry = 0.011 eV/atom
Calculated formation energy = -0.15 eV per atom
Total magnetic moment = 0.0000 μB/atom
ρ = 7.5 g/cm³

Cell: 3.6420 3.6420 8.6990 Å, 90.00 90.00 90.00°
Space group P4/mmm (No. 123)
Symmetry-distinct sites (fractional):
Pm1 0.0000 0.0000 0.2108 x2
Dy1 0.5000 0.5000 0.5000 x1
Zn1 0.5000 0.5000 0.0000 x1

No. 3
Crystalline CePr5In3 at its relaxed geometry, computed with PBE.

Results
Calculated formation energy = -0.32 eV per atom
Total magnetic moment = 0.2820 μB/atom
ρ = 7.0 g/cm³

Cell: 9.6991 9.6991 6.9285 Å, 90.00 90.00 120.00°
Space group P6_3/mcm (No. 193)
Symmetry-distinct sites (fractional):
Ce1 0.0000 0.0000 0.0000 x2
Pr1 0.0000 0.3282 0.2500 x6
Pr2 0.3333 0.6667 0.0000 x4
In1 0.0000 0.3356 0.7500 x6

No. 4
Crystalline AcDySi2 at its relaxed geometry, computed with PBE.

Results
Energy above the lowest structure with this stoichiometry = 0.084 eV/atom
Formation energy from raw total energies = -498.0 meV/atom
Total magnetic moment = 0.0000 μB/atom
ρ = 7.5 g/cm³

Cell: 3.8608 3.8608 6.6321 Å, 90.00 90.00 90.00°
Space group P4/mmm (No. 123)
Symmetry-distinct sites (fractional):
Ac1 0.0000 0.0000 0.0000 x1
Dy1 0.0000 0.0000 0.5000 x1
Si1 0.5000 0.5000 0.3139 x2

No. 5
Crystalline TcHg2As at its relaxed geometry, computed with PBE.

Results
Calculated formation energy = 0.24 eV per atom
Total magnetic moment = 0.0513 μB/atom
ρ = 11.3 g/cm³

Cell: 2.9091 4.0428 14.3863 Å, 90.00 90.00 90.00°
Space group Immm (No. 71)
Symmetry-distinct sites (fractional):
Tc1 0.0000 0.0000 0.0000 x2
Hg1 0.0000 0.5000 0.3178 x4
As1 0.0000 0.0000 0.5000 x2

No. 6
Crystalline KCaMn2 at its relaxed geometry, computed with PBE.

Results
Energy above the lowest structure with this stoichiometry = 0.328 eV/atom
Calculated formation energy = 0.97 eV per atom
Total magnetic moment = 1.0217 μB/atom
ρ = 2.8 g/cm³

Cell: 3.1247 4.9148 7.3719 Å, 90.00 90.84 90.00°
Space group P2/m (No. 10)
Symmetry-distinct sites (fractional):
K1 0.0000 0.0000 0.0000 x1
Ca1 0.0000 0.0000 0.5000 x1
Mn1 0.4916 0.5000 0.6335 x2

No. 7
Crystalline K2HgPdF6 at its relaxed geometry, computed with PBE.

Results
Energy above the lowest structure with this stoichiometry = 0.068 eV/atom
Formation energy from raw total energies = -1882.0 meV/atom
Total magnetic moment = 0.0635 μB/atom
ρ = 4.7 g/cm³

Cell: 8.9243 8.9243 8.9243 Å, 90.00 90.00 90.00°
Space group Fm-3m (No. 225)
Symmetry-distinct sites (fractional):
K1 0.2500 0.2500 0.2500 x8
Hg1 0.0000 0.0000 0.0000 x4
Pd1 0.0000 0.0000 0.5000 x4
F1 0.0000 0.0000 0.2611 x24

No. 8
Crystalline KLa2Bi at its relaxed geometry, computed with PBE.

Results
Calculated formation energy = -0.01 eV per atom
Total magnetic moment = 0.3379 μB/atom
ρ = 5.3 g/cm³

Cell: 9.6275 9.6275 7.1163 Å, 90.00 90.00 90.00°
Space group I-42d (No. 122)
Symmetry-distinct sites (fractional):
K1 0.0000 0.0000 0.0000 x4
La1 0.2079 0.2500 0.6250 x8
Bi1 0.0000 0.0000 0.5000 x4

No. 9
Crystalline Re4HgSe at its relaxed geometry, computed with PBE.

Results
Formation energy from raw total energies = 971.0 meV/atom
Total magnetic moment = 0.0000 μB/atom
ρ = 16.2 g/cm³

Cell: 7.4813 7.4813 7.4813 Å, 90.00 90.00 90.00°
Space group F-43m (No. 216)
Symmetry-distinct sites (fractional):
Re1 0.1242 0.1242 0.1242 x16
Hg1 0.0000 0.0000 0.5000 x4
Se1 0.2500 0.2500 0.7500 x4

No. 10
Crystalline AcCoSn3 at its relaxed geometry, computed with PBE.

Results
Energy above the lowest structure with this stoichiometry = 0.000 eV/atom
Calculated formation energy = -0.46 eV per atom
Total magnetic moment = 0.0000 μB/atom
ρ = 8.5 g/cm³

Cell: 4.7894 4.7894 10.8919 Å, 90.00 90.00 90.00°
Space group I4mm (No. 107)
Symmetry-distinct sites (fractional):
Ac1 0.0000 0.0000 0.0000 x2
Co1 0.0000 0.0000 0.6736 x2
Sn1 0.0000 0.0000 0.4455 x2
Sn2 0.0000 0.5000 0.2559 x4

No. 11
Crystalline Ca3ZnGa at its relaxed geometry, computed with PBE.

Results
Energy above the lowest structure with this stoichiometry = 0.000 eV/atom
Calculated formation energy = -0.30 eV per atom
Total magnetic moment = 0.0000 μB/atom
ρ = 3.0 g/cm³

Cell: 5.2431 20.4067 5.2417 Å, 90.00 90.00 90.00°
Space group Cmcm (No. 63)
Symmetry-distinct sites (fractional):
Ca1 0.0000 0.0738 0.2500 x4
Ca2 0.0000 0.2496 0.2500 x4
Ca3 0.0000 0.4254 0.2500 x4
Zn1 0.0000 0.3399 0.7500 x4
Ga1 0.0000 0.1592 0.7500 x4

No. 12
Crystalline LiCO at its relaxed geometry, computed with PBE.

Results
Energy above the lowest structure with this stoichiometry = 0.416 eV/atom
Formation energy from raw total energies = -688.9 meV/atom
Total magnetic moment = 0.0000 μB/atom
ρ = 2.3 g/cm³

Cell: 2.6599 4.3626 4.7397 Å, 65.97 84.35 82.53°
Space group P1 (No. 1)
Symmetry-distinct sites (fractional):
Li1 0.0000 0.0000 0.0000 x1
Li2 0.1308 0.6749 0.6958 x1
C1 0.0555 0.3018 0.4815 x1
C2 0.5620 0.4044 0.2970 x1
O1 0.3904 0.0693 0.3360 x1
O2 0.5776 0.6406 0.0044 x1

No. 13
Crystalline Tb4PaP5 at its relaxed geometry, computed with PBE.

Results
Calculated formation energy = -1.57 eV per atom
Total magnetic moment = 0.0000 μB/atom
ρ = 7.4 g/cm³

Cell: 8.9635 8.9635 5.6711 Å, 90.00 90.00 90.00°
Space group I4/m (No. 87)
Symmetry-distinct sites (fractional):
Tb1 0.0988 0.3021 0.0000 x8
Pa1 0.0000 0.0000 0.5000 x2
P1 0.0000 0.0000 0.0000 x2
P2 0.0974 0.2937 0.5000 x8

No. 14
Crystalline KFe2Cl2 at its relaxed geometry, computed with PBE.

Results
Energy above the lowest structure with this stoichiometry = 0.253 eV/atom
Formation energy from raw total energies = -49.1 meV/atom
Total magnetic moment = 1.3980 μB/atom
ρ = 2.5 g/cm³

Cell: 8.8074 8.8074 3.7591 Å, 90.00 90.00 90.00°
Space group P4/mbm (No. 127)
Symmetry-distinct sites (fractional):
K1 0.0000 0.0000 0.0000 x2
Fe1 0.0869 0.4131 0.5000 x4
Cl1 0.2136 0.2864 0.0000 x4

No. 15
Crystalline Ca4AsSeBr2 at its relaxed geometry, computed with PBE.

Results
Formation energy from raw total energies = -1610.2 meV/atom
Total magnetic moment = 0.0000 μB/atom
ρ = 3.5 g/cm³

Cell: 7.4134 4.2873 7.4163 Å, 90.00 109.46 90.00°
Space group P2/m (No. 10)
Symmetry-distinct sites (fractional):
Ca1 0.2316 0.0000 0.2156 x2
Ca2 0.2536 0.5000 0.7817 x2
As1 0.0000 0.5000 0.0000 x1
Se1 0.5000 0.0000 0.0000 x1
Br1 0.0000 0.0000 0.5000 x1
Br2 0.5000 0.5000 0.5000 x1

No. 16
Crystalline KSbAs2 at its relaxed geometry, computed with PBE.

Results
Formation energy from raw total energies = -43.1 meV/atom
Total magnetic moment = 0.0000 μB/atom
ρ = 4.6 g/cm³

Cell: 3.7236 4.4115 6.8528 Å, 90.00 90.00 90.00°
Space group Pmmm (No. 47)
Symmetry-distinct sites (fractional):
K1 0.0000 0.0000 0.0000 x1
Sb1 0.0000 0.0000 0.5000 x1
As1 0.5000 0.5000 0.3242 x2

No. 17
Crystalline SiHSe2Br at its relaxed geometry, computed with PBE.

Results
Energy above the lowest structure with this stoichiometry = 0.104 eV/atom
Total magnetic moment = 0.1302 μB/atom
ρ = 3.6 g/cm³

Cell: 4.8243 4.8243 5.2275 Å, 90.00 90.00 90.00°
Space group P4/mmm (No. 123)
Symmetry-distinct sites (fractional):
Si1 0.0000 0.0000 0.0000 x1
H1 0.5000 0.5000 0.5000 x1
Se1 0.0000 0.5000 0.0000 x2
Br1 0.0000 0.0000 0.5000 x1

No. 18
Crystalline Ba2CdCl6 at its relaxed geometry, computed with PBE.

Results
Energy above the lowest structure with this stoichiometry = 0.000 eV/atom
Formation energy from raw total energies = -2049.1 meV/atom
Total magnetic moment = 0.0000 μB/atom
ρ = 3.6 g/cm³

Cell: 6.9041 8.1871 11.7338 Å, 90.00 123.92 90.00°
Space group P2_1/c (No. 14)
Symmetry-distinct sites (fractional):
Ba1 0.2187 0.1093 0.2568 x4
Cd1 0.5000 0.0000 0.0000 x2
Cl1 0.1230 0.1607 0.9462 x4
Cl2 0.2895 0.7011 0.9439 x4
Cl3 0.3552 0.0302 0.7442 x4

No. 19
Crystalline InCoHg2 at its relaxed geometry, computed with PBE.

Results
Calculated formation energy = 0.22 eV per atom
Total magnetic moment = 0.2091 μB/atom
ρ = 11.3 g/cm³

Cell: 2.9317 4.5410 12.7479 Å, 90.00 90.00 90.00°
Space group Imm2 (No. 44)
Symmetry-distinct sites (fractional):
In1 0.0000 0.0000 0.0000 x2
Co1 0.0000 0.5000 0.3255 x2
Hg1 0.0000 0.0000 0.6425 x2
Hg2 0.0000 0.5000 0.8213 x2

No. 20
Crystalline LiSc3Ti at its relaxed geometry, computed with PBE.

Results
Energy above the lowest structure with this stoichiometry = 0.000 eV/atom
Calculated formation energy = 0.59 eV per atom
Total magnetic moment = 0.0000 μB/atom
ρ = 2.4 g/cm³

Cell: 5.1134 5.1134 5.1134 Å, 90.00 90.00 90.00°
Space group Pm-3m (No. 221)
Symmetry-distinct sites (fractional):
Li1 0.0000 0.0000 0.0000 x1
Sc1 0.0000 0.5000 0.5000 x3
Ti1 0.5000 0.5000 0.5000 x1